Entry 1:
Density functional theory data (GGA-PBE) for a geometry-optimized LiNd4Th3S8 structure.

Space group: R-3m
Fermi-level density of states in states/eV/f.u.: 6.92
Electronic total energy in eV/cell: -106.5
Spin magnetization in μB/cell: 0.00
Crystal system: trigonal
ΔE_f (raw) in kJ per mole of atoms: -183

Cell: 8.0639 8.0677 8.0646 Å, 119.98 120.00 90.00°
Closest atoms and distances in Å follow each position.
Element x y z (fractional)
Nd: 0.5000 0.0000 0.0000  6 S 2.95
Nd: 0.5000 0.0000 0.5000  6 S 2.85-2.86
Nd: 0.0000 0.0000 0.5000  6 S 2.85-2.86
Nd: 0.0000 0.0000 0.0000  6 S 2.85-2.86
Th: 0.5000 0.5000 0.0000  6 S 2.84-2.85
Th: 0.0000 0.5000 0.5000  6 S 2.84-2.85
Th: 0.5000 0.5000 0.5000  6 S 2.84-2.85
S: 0.2436 0.2603 0.0019  1 Li 2.76, 2 Th 2.84, 3 Nd 2.86-2.95
S: 0.7583 0.2603 0.5166  1 Li 2.76, 2 Th 2.84, 3 Nd 2.86-2.95
S: 0.2501 0.2502 0.5001  3 Th 2.85, 3 Nd 2.85
S: 0.7564 0.7397 0.9981  1 Li 2.76, 2 Th 2.84, 3 Nd 2.86-2.95
S: 0.2417 0.7397 0.9981  1 Li 2.76, 2 Th 2.84, 3 Nd 2.86-2.95
S: 0.2417 0.7397 0.4834  1 Li 2.76, 2 Th 2.84, 3 Nd 2.86-2.95
S: 0.7583 0.2603 0.0019  1 Li 2.76, 2 Th 2.84, 3 Nd 2.86-2.95
S: 0.7499 0.7498 0.4999  3 Th 2.85, 3 Nd 2.85
Li: 0.0000 0.5000 0.0000  6 S 2.76

Entry 2:
Density functional theory data (GGA-PBE) for a geometry-optimized LiNd2ThS4 structure.

Space group: P2/m
Fermi-level density of states in states/eV/f.u.: 3.97
Electronic total energy in eV/cell: -50.2
Spin magnetization in μB/cell: 0.00
Crystal system: monoclinic
ΔE_f (raw) in kJ per mole of atoms: -179

Cell: 4.0150 6.9373 6.9421 Å, 109.11 90.00 90.00°
Closest atoms and distances in Å follow each position.
Element x y z (fractional)
S: 0.5000 0.7587 0.7626  2 Li 2.78, 1 Th 2.81, 3 Nd 2.85-2.90
S: 0.5000 0.2413 0.2374  2 Li 2.78, 1 Th 2.81, 3 Nd 2.85-2.90
S: 0.0000 0.7577 0.2387  1 Li 2.72, 2 Th 2.83, 3 Nd 2.85-2.93
S: 0.0000 0.2423 0.7613  1 Li 2.72, 2 Th 2.83, 3 Nd 2.85-2.93
Nd: 0.5000 0.0000 0.5000  6 S 2.85
Nd: 0.0000 0.5000 0.5000  6 S 2.90-2.93
Li: 0.0000 0.0000 0.0000  6 S 2.72-2.78
Th: 0.5000 0.5000 0.0000  6 S 2.81-2.83

Entry 3:
Density functional theory data (GGA-PBE) for a geometry-optimized LiNdTh2S5 structure.

Space group: Cmc2_1
Fermi-level density of states in states/eV/f.u.: 4.51
Electronic total energy in eV/cell: -116.6
Spin magnetization in μB/cell: 0.00
Crystal system: orthorhombic
ΔE_f (raw) in kJ per mole of atoms: -173

Cell: 3.9472 8.5149 12.0705 Å, 90.00 90.00 103.40°
Closest atoms and distances in Å follow each position.
Element x y z (fractional)
Nd: 0.1911 0.3823 0.9962  6 S 2.74-2.83
Nd: 0.8089 0.6177 0.4962  6 S 2.74-2.83
Th: 0.8746 0.7492 0.7996  8 S 2.88-3.13
Th: 0.8847 0.7695 0.1804  8 S 2.81-3.03
Th: 0.1153 0.2305 0.6804  8 S 2.81-3.03
Th: 0.1254 0.2508 0.2996  8 S 2.88-3.13
S: 0.9630 0.9260 0.5782  2 Li 2.32
S: 0.0370 0.0740 0.0782  2 Li 2.32
S: 0.3060 0.6121 0.3298  2 Nd 2.82, 3 Th 2.97-3.01
S: 0.6391 0.2782 0.4995  1 Li 2.42
S: 0.4976 0.9951 0.2905  1 Li 2.36
S: 0.3609 0.7218 0.9995  1 Li 2.42
S: 0.5024 0.0049 0.7905  1 Li 2.36
S: 0.6940 0.3879 0.8298  2 Nd 2.82, 3 Th 2.97-3.01
S: 0.2964 0.5928 0.6634  2 Nd 2.83, 3 Th 2.88-3.01
S: 0.7036 0.4072 0.1634  2 Nd 2.83, 3 Th 2.88-3.01
Li: 0.5065 0.0131 0.9863  4 S 2.32-2.42
Li: 0.4935 0.9869 0.4863  4 S 2.32-2.42

Entry 4:
Density functional theory data (GGA-PBE) for a geometry-optimized LiNd2TmS5 structure.

Space group: Cmc2_1
Electronic total energy in eV/cell: -107.8
Spin magnetization in μB/cell: 0.00
Crystal system: orthorhombic
ΔE_f (raw) in kJ per mole of atoms: -186

Cell: 3.9695 8.4610 11.8773 Å, 90.00 90.00 103.57°
Closest atoms and distances in Å follow each position.
Element x y z (fractional)
Li: 0.5150 0.0300 0.9809  4 S 2.31-2.53
Li: 0.4850 0.9700 0.4809  4 S 2.31-2.53
S: 0.4999 0.9997 0.2834  1 Li 2.36
S: 0.2860 0.5720 0.6589  2 Tm 2.73, 3 Nd 2.95-2.96
S: 0.9518 0.9036 0.5691  2 Li 2.31, 1 Tm 2.58
S: 0.5001 0.0003 0.7834  1 Li 2.36
S: 0.7140 0.4280 0.1589  2 Tm 2.73, 3 Nd 2.95-2.96
S: 0.3074 0.6148 0.3474  2 Tm 2.71
S: 0.6381 0.2762 0.4984  1 Li 2.53, 1 Tm 2.70
S: 0.3619 0.7238 0.9984  1 Li 2.53, 1 Tm 2.70
S: 0.6926 0.3852 0.8474  2 Tm 2.71
S: 0.0482 0.0964 0.0691  2 Li 2.31, 1 Tm 2.58
Nd: 0.8923 0.7845 0.1855  8 S 2.90-3.10
Nd: 0.8747 0.7495 0.7974  8 S 2.87-3.11
Nd: 0.1253 0.2505 0.2974  8 S 2.87-3.11
Nd: 0.1077 0.2155 0.6855  8 S 2.90-3.10
Tm: 0.1979 0.3957 0.0029  6 S 2.58-2.73
Tm: 0.8021 0.6043 0.5029  6 S 2.58-2.73

Question: What is the ΔE_f (raw) in the second record?
Answer: -179 kJ per mole of atoms

Question: Look up the electronic total energy of the fourth one.
Answer: -107.8 eV/cell